{"formula": "Co2BiAsO8", "functional": "PBE+U", "state": "relaxed", "energy_ev_per_atom": -5.54, "cell": [[-2.563, 4.058, -1.900], [-2.168, -2.948, 3.641], [2.542, 3.729, 4.532]], "species": ["O", "O", "O", "O", "O", "O", "O", "O", "Bi", "Co", "Co", "As"], "frac_coords": [[0.333, 0.667, 0.966], [0.667, 0.333, 0.034], [0.287, 0.280, 0.322], [0.720, 0.007, 0.322], [0.280, 0.993, 0.678], [0.007, 0.287, 0.678], [0.993, 0.713, 0.322], [0.713, 0.720, 0.678], [0.000, 0.000, 0.000], [0.333, 0.667, 0.701], [0.667, 0.333, 0.299], [0.000, 0.000, 0.500]]}